No. 1
Compound: Rb3Ta2MnO9
Source: the Alexandria database
Functional: PBE with a Hubbard U
Structure: relaxed Values from VASP.

Cell and atoms, written as Quantum ESPRESSO input:
```
&SYSTEM
  ibrav = 0, nat = 15, ntyp = 4
/
ATOMIC_SPECIES
Rb 85.47 Rb.upf
Ta 180.95 Ta.upf
Mn 54.94 Mn.upf
O 16.00 O.upf
CELL_PARAMETERS angstrom
5.700 0.000 0.000
-2.850 4.936 0.000
0.000 0.000 6.981
ATOMIC_POSITIONS crystal
Rb 0.333 0.667 0.665
Rb 0.000 0.000 0.000
Rb 0.667 0.333 0.335
Ta 0.333 0.667 0.175
Ta 0.667 0.333 0.825
Mn 0.000 0.000 0.500
O 0.835 0.165 0.664
O 0.835 0.670 0.664
O 0.330 0.165 0.664
O 0.670 0.835 0.336
O 0.165 0.330 0.336
O 0.165 0.835 0.336
O 0.500 0.000 0.000
O 0.000 0.500 0.000
O 0.500 0.500 0.000
```

Properties
SG: P-3m1
Electronic total energy in eV/atom: -7.2747


No. 2
Compound: Rb2TaMnO4
Source: the Alexandria database
Functional: PBE with a Hubbard U
Structure: relaxed Values from VASP.

Cell and atoms, written as Quantum ESPRESSO input:
```
&SYSTEM
  ibrav = 0, nat = 8, ntyp = 4
/
ATOMIC_SPECIES
Rb 85.47 Rb.upf
Ta 180.95 Ta.upf
Mn 54.94 Mn.upf
O 16.00 O.upf
CELL_PARAMETERS angstrom
6.253 -0.307 -0.470
-2.942 5.527 0.470
-2.942 -1.794 5.248
ATOMIC_POSITIONS crystal
Rb 0.500 0.750 0.250
Rb 0.000 0.000 0.000
Ta 0.000 0.500 0.500
Mn 0.500 0.250 0.750
O 0.671 0.389 0.520
O 0.131 0.282 0.611
O 0.869 0.480 0.150
O 0.329 0.850 0.718
```

Properties
SG: I-4
Electronic total energy in eV/atom: -7.0712


No. 3
Compound: Rb3Tb2MnO6
Source: the Alexandria database
Functional: PBE with a Hubbard U
Structure: relaxed Values from VASP.

Cell and atoms, written as Quantum ESPRESSO input:
```
&SYSTEM
  ibrav = 0, nat = 12, ntyp = 4
/
ATOMIC_SPECIES
Rb 85.47 Rb.upf
Tb 158.93 Tb.upf
Mn 54.94 Mn.upf
O 16.00 O.upf
CELL_PARAMETERS angstrom
-1.967 5.512 -0.721
-0.311 -3.619 -4.645
-5.129 -2.576 3.828
ATOMIC_POSITIONS crystal
Rb 0.166 0.834 0.500
Rb 0.834 0.166 0.500
Rb 0.500 0.500 0.500
Tb 0.336 0.664 0.000
Tb 0.664 0.336 0.000
Mn 0.000 0.000 0.000
O 0.940 0.643 0.841
O 0.711 0.711 0.200
O 0.060 0.357 0.159
O 0.643 0.940 0.841
O 0.289 0.289 0.800
O 0.357 0.060 0.159
```

Properties
SG: C2/m
Electronic total energy in eV/atom: -6.3424


No. 4
Compound: RbMnTc2O8
Source: the Alexandria database
Functional: PBE with a Hubbard U
Structure: relaxed Values from VASP.

Cell and atoms, written as Quantum ESPRESSO input:
```
&SYSTEM
  ibrav = 0, nat = 12, ntyp = 4
/
ATOMIC_SPECIES
Rb 85.47 Rb.upf
Mn 54.94 Mn.upf
Tc 98.00 Tc.upf
O 16.00 O.upf
CELL_PARAMETERS angstrom
-4.369 0.307 3.878
-1.040 -1.901 -5.434
1.504 -7.320 2.273
ATOMIC_POSITIONS crystal
Rb 0.000 0.000 0.000
Mn 0.000 0.000 0.500
Tc 0.667 0.333 0.261
Tc 0.333 0.667 0.739
O 0.333 0.667 0.963
O 0.336 0.177 0.333
O 0.823 0.159 0.333
O 0.667 0.333 0.037
O 0.177 0.841 0.667
O 0.664 0.823 0.667
O 0.159 0.336 0.667
O 0.841 0.664 0.333
```

Properties
SG: P-3
Electronic total energy in eV/atom: -7.3120


No. 5
Compound: Rb2MnTe2O6
Source: the Alexandria database
Functional: PBE with a Hubbard U
Structure: relaxed Values from VASP.

Cell and atoms, written as Quantum ESPRESSO input:
```
&SYSTEM
  ibrav = 0, nat = 11, ntyp = 4
/
ATOMIC_SPECIES
Rb 85.47 Rb.upf
Mn 54.94 Mn.upf
Te 127.60 Te.upf
O 16.00 O.upf
CELL_PARAMETERS angstrom
-4.481 0.249 -4.099
1.123 -5.187 2.964
-2.726 8.531 3.500
ATOMIC_POSITIONS crystal
Rb 0.711 0.422 0.317
Rb 0.289 0.578 0.683
Mn 0.500 0.000 0.500
Te 0.058 0.115 0.836
Te 0.942 0.885 0.164
O 0.808 0.616 0.701
O 0.192 0.907 0.299
O 0.285 0.093 0.701
O 0.808 0.093 0.701
O 0.715 0.907 0.299
O 0.192 0.384 0.299
```

Properties
SG: R-3m
Electronic total energy in eV/atom: -5.4840


No. 6
Compound: Rb3MnTe2O8
Source: the Alexandria database
Functional: PBE with a Hubbard U
Structure: relaxed Values from VASP.

Cell and atoms, written as Quantum ESPRESSO input:
```
&SYSTEM
  ibrav = 0, nat = 14, ntyp = 4
/
ATOMIC_SPECIES
Rb 85.47 Rb.upf
Mn 54.94 Mn.upf
Te 127.60 Te.upf
O 16.00 O.upf
CELL_PARAMETERS angstrom
6.108 0.000 0.000
-3.054 5.290 0.000
0.000 0.000 8.059
ATOMIC_POSITIONS crystal
Rb 0.333 0.667 0.793
Rb 0.667 0.333 0.207
Rb 0.000 0.000 0.000
Mn 0.000 0.000 0.500
Te 0.333 0.667 0.350
Te 0.667 0.333 0.650
O 0.333 0.667 0.120
O 0.667 0.333 0.880
O 0.144 0.856 0.346
O 0.856 0.144 0.654
O 0.144 0.288 0.346
O 0.856 0.712 0.654
O 0.712 0.856 0.346
O 0.288 0.144 0.654
```

Properties
SG: P-3m1
Electronic total energy in eV/atom: -5.2525


No. 7
Compound: RbMn2Te2O6
Source: the Alexandria database
Functional: PBE with a Hubbard U
Structure: relaxed Values from VASP.

Cell and atoms, written as Quantum ESPRESSO input:
```
&SYSTEM
  ibrav = 0, nat = 11, ntyp = 4
/
ATOMIC_SPECIES
Rb 85.47 Rb.upf
Mn 54.94 Mn.upf
Te 127.60 Te.upf
O 16.00 O.upf
CELL_PARAMETERS angstrom
-2.299 -2.536 -5.041
-6.010 -4.042 0.256
1.060 6.702 -1.858
ATOMIC_POSITIONS crystal
Rb 0.500 0.000 0.500
Mn 0.872 0.337 0.772
Mn 0.128 0.663 0.228
Te 0.164 0.706 0.758
Te 0.836 0.294 0.242
O 0.486 0.661 0.881
O 0.912 0.456 0.123
O 0.108 0.912 0.622
O 0.088 0.544 0.877
O 0.892 0.088 0.378
O 0.514 0.339 0.119
```

Properties
SG: P-1
Electronic total energy in eV/atom: -5.9211


No. 8
Compound: RbMnTeO6
Source: the Alexandria database
Functional: PBE with a Hubbard U
Structure: relaxed Values from VASP.

Cell and atoms, written as Quantum ESPRESSO input:
```
&SYSTEM
  ibrav = 0, nat = 9, ntyp = 4
/
ATOMIC_SPECIES
Rb 85.47 Rb.upf
Mn 54.94 Mn.upf
Te 127.60 Te.upf
O 16.00 O.upf
CELL_PARAMETERS angstrom
5.155 0.000 0.000
2.577 4.464 0.000
0.000 0.000 6.494
ATOMIC_POSITIONS crystal
Rb 0.000 0.000 0.000
Mn 0.667 0.667 0.500
Te 0.333 0.333 0.500
O 0.995 0.388 0.330
O 0.388 0.995 0.670
O 0.616 0.388 0.670
O 0.995 0.616 0.670
O 0.388 0.616 0.330
O 0.616 0.995 0.330
```

Properties
SG: P312
Electronic total energy in eV/atom: -5.7414


No. 9
Compound: RbMnTe2O6
Source: the Alexandria database
Functional: PBE with a Hubbard U
Structure: relaxed Values from VASP.

Cell and atoms, written as Quantum ESPRESSO input:
```
&SYSTEM
  ibrav = 0, nat = 20, ntyp = 4
/
ATOMIC_SPECIES
Rb 85.47 Rb.upf
Mn 54.94 Mn.upf
Te 127.60 Te.upf
O 16.00 O.upf
CELL_PARAMETERS angstrom
-6.517 -1.111 5.147
-3.635 -6.979 -1.479
2.412 -0.239 7.631
ATOMIC_POSITIONS crystal
Rb 0.250 0.904 0.096
Rb 0.750 0.096 0.904
Mn 0.250 0.210 0.790
Mn 0.750 0.790 0.210
Te 0.345 0.729 0.547
Te 0.155 0.453 0.271
Te 0.655 0.271 0.453
Te 0.845 0.547 0.729
O 0.178 0.007 0.780
O 0.322 0.220 0.993
O 0.822 0.993 0.220
O 0.678 0.780 0.007
O 0.530 0.787 0.400
O 0.970 0.600 0.213
O 0.470 0.213 0.600
O 0.030 0.400 0.787
O 0.960 0.683 0.616
O 0.540 0.384 0.317
O 0.040 0.317 0.384
O 0.460 0.616 0.683
```

Properties
SG: C2/c
Electronic total energy in eV/atom: -5.6911


No. 10
Compound: Rb3MnTe2O9
Source: the Alexandria database
Functional: PBE with a Hubbard U
Structure: relaxed Values from VASP.

Cell and atoms, written as Quantum ESPRESSO input:
```
&SYSTEM
  ibrav = 0, nat = 15, ntyp = 4
/
ATOMIC_SPECIES
Rb 85.47 Rb.upf
Mn 54.94 Mn.upf
Te 127.60 Te.upf
O 16.00 O.upf
CELL_PARAMETERS angstrom
5.860 0.000 0.000
-2.930 5.075 0.000
0.000 0.000 7.213
ATOMIC_POSITIONS crystal
Rb 0.333 0.667 0.662
Rb 0.000 0.000 0.000
Rb 0.667 0.333 0.338
Mn 0.000 0.000 0.500
Te 0.333 0.667 0.173
Te 0.667 0.333 0.827
O 0.825 0.175 0.683
O 0.825 0.650 0.683
O 0.350 0.175 0.683
O 0.650 0.825 0.317
O 0.175 0.350 0.317
O 0.175 0.825 0.317
O 0.500 0.000 0.000
O 0.000 0.500 0.000
O 0.500 0.500 0.000
```

Properties
SG: P-3m1
Electronic total energy in eV/atom: -5.2591


No. 11
Compound: Rb2TiMnO4
Source: the Alexandria database
Functional: PBE with a Hubbard U
Structure: relaxed Values from VASP.

Cell and atoms, written as Quantum ESPRESSO input:
```
&SYSTEM
  ibrav = 0, nat = 16, ntyp = 4
/
ATOMIC_SPECIES
Rb 85.47 Rb.upf
Ti 47.87 Ti.upf
Mn 54.94 Mn.upf
O 16.00 O.upf
CELL_PARAMETERS angstrom
5.335 0.000 0.000
2.667 6.200 0.000
2.667 0.000 10.481
ATOMIC_POSITIONS crystal
Rb 0.175 0.000 0.649
Rb 0.825 0.000 0.351
Rb 0.575 0.500 0.851
Rb 0.925 0.500 0.149
Ti 0.250 0.500 0.500
Ti 0.500 0.000 0.000
Mn 0.750 0.500 0.500
Mn 0.000 0.000 0.000
O 0.317 0.831 0.091
O 0.239 0.169 0.909
O 0.852 0.831 0.909
O 0.592 0.169 0.091
O 0.433 0.669 0.409
O 0.511 0.331 0.591
O 0.898 0.669 0.591
O 0.158 0.331 0.409
```

Properties
SG: Fddd
Electronic total energy in eV/atom: -6.6791


No. 12
Compound: RbMn2TlO8
Source: the Alexandria database
Functional: PBE with a Hubbard U
Structure: relaxed Values from VASP.

Cell and atoms, written as Quantum ESPRESSO input:
```
&SYSTEM
  ibrav = 0, nat = 12, ntyp = 4
/
ATOMIC_SPECIES
Rb 85.47 Rb.upf
Mn 54.94 Mn.upf
Tl 204.38 Tl.upf
O 16.00 O.upf
CELL_PARAMETERS angstrom
5.681 0.000 0.000
-2.841 4.920 0.000
0.000 0.000 8.958
ATOMIC_POSITIONS crystal
Rb 0.000 0.000 0.000
Mn 0.667 0.333 0.218
Mn 0.333 0.667 0.782
Tl 0.000 0.000 0.500
O 0.333 0.667 0.962
O 0.373 0.275 0.278
O 0.725 0.097 0.278
O 0.667 0.333 0.038
O 0.275 0.903 0.722
O 0.627 0.725 0.722
O 0.097 0.373 0.722
O 0.903 0.627 0.278
```

Properties
SG: P-3
Electronic total energy in eV/atom: -5.6505